DFT (PBE) results for crystalline InBiN2 at its relaxed geometry.

V ... 69.5 Å³/f.u.
Symmetry ... R-3m (166)
Formation energy from raw total energies ... 309 kJ/mol of formula units

Cell: 6.875 6.875 6.875 Å, 29.45 29.45 29.45°
Fractional coordinates of all 4 atoms:
N: 0.888 0.888 0.888
N: 0.112 0.112 0.112
Bi: 0.000 0.000 0.000
In: 0.500 0.500 0.500


DFT (PBE) results for crystalline MnZnAg2 at its relaxed geometry.

ΔH_f (0 K) ... 0.15 eV/atom
V ... 65.6 Å³/f.u.
Symmetry ... P4/mmm (123)

Cell: 3.018 3.018 7.205 Å, 90.00 90.00 90.01°
Each line ends with the local moment (μB).
Fractional coordinates of all 4 atoms:
Ag: 0.000 0.000 0.995  0.00
Ag: 0.000 0.000 0.505  0.00
Mn: 0.500 0.500 0.250  3.86
Zn: 0.500 0.500 0.750  -0.02